A plane-wave DFT calculation with PBE+U was carried out for an optimized crystal structure of K2MgMnF6.

a = 5.866 Å, b = 5.867 Å, c = 8.313 Å
α = 90.00°, β = 90.00°, γ = 90.00°
Last column: magnetic moment on the atom in μB.
Positions (direct):
K: 0.500 0.750 0.250  0.00
K: 0.000 0.250 0.750  0.00
K: 0.500 0.750 0.750  0.00
K: 0.000 0.250 0.250  0.00
Mg: 0.000 0.750 0.500  0.01
Mg: 0.500 0.250 0.000  0.01
Mn: 0.500 0.250 0.500  4.69
Mn: 0.000 0.750 0.000  4.69
F: 0.500 0.250 0.242  0.02
F: 0.500 0.250 0.758  0.02
F: 0.000 0.750 0.258  0.02
F: 0.000 0.750 0.742  0.02
F: 0.243 0.993 0.500  0.02
F: 0.757 0.993 0.500  0.02
F: 0.243 0.507 0.500  0.02
F: 0.757 0.507 0.500  0.02
F: 0.743 0.493 0.000  0.02
F: 0.257 0.493 0.000  0.02
F: 0.257 0.007 0.000  0.02
F: 0.743 0.007 0.000  0.02

- E_tot (eV/atom) = -5.29
- crystal system = tetragonal
- total magnetization (μB/f.u.) = 5.00